[1]
# TeAsAu2 (PBE, optimized geometry)
# - Total magnetization: 0.0 Bohr magnetons per cell
# - Crystal system: tetragonal
# - Raw formation energy: 0.12 eV/atom
# - DOS at the Fermi energy: 0.894 states/eV/atom
data_TeAsAu2
_chemical_formula_sum 'Te2 As2 Au4'
_space_group_name_H-M_alt 'P 1'
_space_group_IT_number 1
_space_group_name_Hall 'P 1'
_cell_length_a 6.262
_cell_length_b 6.262
_cell_length_c 7.175
_cell_angle_alpha 64.13
_cell_angle_beta 64.13
_cell_angle_gamma 90.00
loop_
_atom_site_label
_atom_site_fract_x
_atom_site_fract_y
_atom_site_fract_z
_atom_site_occupancy
Au1 0.155 0.625 0.250 1
Au2 0.375 0.405 0.750 1
As1 0.250 0.750 0.500 1
Te1 0.000 0.000 0.000 1
Te2 0.750 0.250 0.500 1
Au3 0.595 0.125 0.250 1
Au4 0.875 0.845 0.750 1
As2 0.500 0.500 0.000 1


[2]
# IrC3 (PBE, optimized geometry)
# - Formation enthalpy at 0 K: 1.282 eV per atom
# - Total magnetization: 0.0 Bohr magnetons per cell
# - Crystal system: orthorhombic
# - DOS at the Fermi energy: 0.441 states/eV/atom
data_IrC3
_chemical_formula_sum 'Ir1 C3'
_space_group_name_H-M_alt 'P 1'
_space_group_IT_number 1
_space_group_name_Hall 'P 1'
_cell_length_a 3.937
_cell_length_b 3.937
_cell_length_c 3.937
_cell_angle_alpha 135.75
_cell_angle_beta 120.68
_cell_angle_gamma 76.90
loop_
_atom_site_label
_atom_site_fract_x
_atom_site_fract_y
_atom_site_fract_z
_atom_site_occupancy
Ir1 0.774 0.000 0.774 1
C1 0.608 0.670 0.938 1
C2 0.184 0.500 0.684 1
C3 0.268 0.330 0.938 1


[3]
# Li2CrOs (PBE, optimized geometry)
# - Formation enthalpy at 0 K: 0.266 eV per atom
# - Total magnetization: 1.7 Bohr magnetons per cell
# - Crystal system: orthorhombic
# - DOS at the Fermi energy: 0.712 states/eV/atom
data_Li2CrOs
_chemical_formula_sum 'Li2 Cr1 Os1'
_space_group_name_H-M_alt 'P 1'
_space_group_IT_number 1
_space_group_name_Hall 'P 1'
_cell_length_a 2.670
_cell_length_b 3.847
_cell_length_c 5.573
_cell_angle_alpha 90.00
_cell_angle_beta 90.00
_cell_angle_gamma 90.00
loop_
_atom_site_label
_atom_site_fract_x
_atom_site_fract_y
_atom_site_fract_z
_atom_site_occupancy
Li1 0.500 0.500 0.244 1
Cr1 0.500 0.500 0.701 1
Li2 0.000 0.000 0.015 1
Os1 0.000 0.000 0.540 1


[4]
# SmDy4Ho (PBE, optimized geometry)
# - Formation enthalpy at 0 K: 0.273 eV per atom
# - Total magnetization: 0.7 Bohr magnetons per cell
# - Crystal system: cubic
# - DOS at the Fermi energy: 1.761 states/eV/atom
data_SmDy4Ho
_chemical_formula_sum 'Sm1 Dy4 Ho1'
_space_group_name_H-M_alt 'P 1'
_space_group_IT_number 1
_space_group_name_Hall 'P 1'
_cell_length_a 6.566
_cell_length_b 6.566
_cell_length_c 6.566
_cell_angle_alpha 60.00
_cell_angle_beta 60.00
_cell_angle_gamma 60.00
loop_
_atom_site_label
_atom_site_fract_x
_atom_site_fract_y
_atom_site_fract_z
_atom_site_occupancy
Sm1 0.250 0.250 0.250 1
Dy1 0.625 0.625 0.625 1
Dy2 0.625 0.124 0.625 1
Dy3 0.124 0.625 0.625 1
Dy4 0.625 0.625 0.124 1
Ho1 0.000 0.000 0.000 1